No. 1
Sm8Ir3SI4: relaxed, PBE-GGA.

Lattice parameters (Å, degrees): 8.4229 9.3067 8.4227 116.91 120.00 90.00
With the nearest neighbours (Å) after each atom.
Element x y z (fractional)
S1 0.0000 0.5000 0.0000  6 Sm 2.93
Ir1 0.0000 0.5000 0.5000  6 Sm 2.79-2.83
Ir2 0.5000 0.5000 0.0000  6 Sm 2.79-2.83
Ir3 0.5000 0.5000 0.5000  6 Sm 2.79-2.83
I1 0.5000 0.0000 0.5000  6 Sm 3.50-3.53
I2 0.0000 0.0000 0.5000  6 Sm 3.50-3.53
I3 0.0000 0.0000 0.0000  6 Sm 3.50-3.53
I4 0.5000 0.0000 0.0000  6 Sm 3.42
Sm1 0.2722 0.3167 0.5444  3 Ir 2.83
Sm2 0.7647 0.3161 0.5294  2 Ir 2.79, 1 S 2.93
Sm3 0.7647 0.3161 0.0513  2 Ir 2.79, 1 S 2.93
Sm4 0.7134 0.6839 0.9487  2 Ir 2.79, 1 S 2.93
Sm5 0.7278 0.6833 0.4556  3 Ir 2.83
Sm6 0.2866 0.3161 0.0513  2 Ir 2.79, 1 S 2.93
Sm7 0.2353 0.6839 0.9487  2 Ir 2.79, 1 S 2.93
Sm8 0.2353 0.6839 0.4706  2 Ir 2.79, 1 S 2.93

Output
Calculated volume ... 487 Å³ per cell
Fermi-level density of states ... 8.57 states/eV/cell
E ... -91.83 eV per cell


No. 2
LiCdPt2: relaxed, PBE-GGA.

Lattice parameters (Å, degrees): 2.8573 2.8573 7.9212 90.00 90.00 90.00
With the nearest neighbours (Å) after each atom.
Element x y z (fractional)
Cd1 0.0000 0.0000 0.4968  4 Cd 2.86, 4 Pt 2.87, 4 Li 3.01
Pt1 0.5000 0.5000 0.2388  8 Pt 2.84-2.86, 4 Cd 2.87
Pt2 0.0000 0.0000 0.9866  4 Li 2.61, 8 Pt 2.84-2.86
Li1 0.5000 0.5000 0.7777  4 Pt 2.61, 4 Li 2.86

Output
Calculated volume ... 65 Å³ per cell
Fermi-level density of states ... 1.74 states/eV/cell
E ... -15.94 eV per cell
DFT formation energy ... -1.0 eV/f.u.


No. 3
ScNi2BRh: relaxed, PBE-GGA.

Lattice parameters (Å, degrees): 3.9323 3.9323 4.1109 90.00 90.00 90.00
With the nearest neighbours (Å) after each atom.
Element x y z (fractional)
Sc1 0.5000 0.5000 0.5000  4 Rh 2.78, 8 Ni 2.84
B1 0.0000 0.0000 0.0000  4 Ni 1.97, 2 Rh 2.06
Ni1 0.0000 0.5000 0.0000  2 B 1.97
Ni2 0.5000 0.0000 0.0000  2 B 1.97
Rh1 0.0000 0.0000 0.5000  2 B 2.06

Output
Calculated volume ... 64 Å³ per cell
Fermi-level density of states ... 3.82 states/eV/cell
E ... -34.70 eV per cell
DFT formation energy ... -2.8 eV/f.u.


No. 4
Ti3ReI: relaxed, PBE-GGA.

Lattice parameters (Å, degrees): 4.8498 4.8498 4.8498 90.00 90.00 90.00
With the nearest neighbours (Å) after each atom.
Element x y z (fractional)
Ti1 0.0000 0.5000 0.0000  2 Re 2.42
Ti2 0.0000 0.0000 0.5000  2 Re 2.42
Ti3 0.5000 0.0000 0.0000  2 Re 2.42
Re1 0.0000 0.0000 0.0000  6 Ti 2.42
I1 0.5000 0.5000 0.5000  12 Ti 3.43

Output
Distance to the lowest polymorph of the same formula ... 0.0000 eV per atom
Calculated volume ... 114 Å³ per cell
Fermi-level density of states ... 5.11 states/eV/cell
E ... -34.61 eV per cell


No. 5
K3La3GaS8: relaxed, PBE-GGA.

Lattice parameters (Å, degrees): 8.3501 8.3521 8.8775 118.08 90.00 119.99
With the nearest neighbours (Å) after each atom.
Element x y z (fractional)
S1 0.7650 0.9770 0.6891  1 Ga 2.58
S2 0.2120 0.9770 0.6891  1 Ga 2.58
S3 0.7365 0.4729 0.7093  3 La 2.87
S4 0.2635 0.5271 0.2907  3 La 2.87
S5 0.2110 0.4220 0.6883  1 Ga 2.56
S6 0.7880 0.0230 0.3109  1 Ga 2.58
S7 0.2350 0.0230 0.3109  1 Ga 2.58
S8 0.7890 0.5780 0.3117  1 Ga 2.56
Ga1 0.0000 0.0000 0.5000  6 S 2.56-2.58
K1 0.0000 0.0000 0.0000  6 S 3.24-3.26
K2 0.0000 0.5000 0.0000  6 S 3.24-3.26
K3 0.5000 0.5000 0.0000  6 S 3.24-3.26
La1 0.5000 0.5000 0.5000  6 S 2.87-2.91
La2 0.0000 0.5000 0.5000  6 S 2.87-2.91
La3 0.5000 0.0000 0.5000  6 S 2.87-2.91

Output
Calculated volume ... 450 Å³ per cell
Fermi-level density of states ... 21.75 states/eV/cell
E ... -76.32 eV per cell


No. 6
CaBIO2: relaxed, PBE-GGA.

Lattice parameters (Å, degrees): 4.3658 4.3658 6.8505 90.00 90.00 90.00
With the nearest neighbours (Å) after each atom.
Element x y z (fractional)
Ca1 0.0000 0.0000 0.0000  4 O 2.18
O1 0.0000 0.5000 0.0000  2 Ca 2.18
O2 0.5000 0.0000 0.0000  2 Ca 2.18
B1 0.5000 0.5000 0.5000  4 I 3.09
I1 0.0000 0.0000 0.5000  4 B 3.09, 2 Ca 3.43

Output
Distance to the lowest polymorph of the same formula ... 0.5300 eV per atom
Calculated volume ... 131 Å³ per cell
Fermi-level density of states ... 4.93 states/eV/cell
E ... -18.76 eV per cell


No. 7
Pr2MgNi16: relaxed, PBE-GGA.

Lattice parameters (Å, degrees): 6.3545 6.3545 6.3545 83.15 83.15 83.15
With the nearest neighbours (Å) after each atom.
Element x y z (fractional)
Ni1 0.2954 0.7045 0.9998  8 Ni 2.39-2.59
Ni2 0.7045 0.9998 0.2954  8 Ni 2.39-2.59
Ni3 0.0012 0.4946 0.0012  9 Ni 2.39-2.51, 1 Mg 2.64
Ni4 0.4946 0.0012 0.0012  9 Ni 2.39-2.51, 1 Mg 2.64
Ni5 0.1056 0.1056 0.1056  1 Mg 2.40, 6 Ni 2.51-2.56
Ni6 0.8458 0.3411 0.3411  9 Ni 2.41-2.59
Ni7 0.2954 0.9998 0.7045  8 Ni 2.39-2.59
Ni8 0.3411 0.8458 0.3411  9 Ni 2.41-2.59
Ni9 0.9998 0.2954 0.7045  8 Ni 2.39-2.59
Ni10 0.3411 0.3411 0.8458  9 Ni 2.41-2.59
Ni11 0.6562 0.6562 0.1550  8 Ni 2.45-2.57, 1 Mg 2.65
Ni12 0.6562 0.1550 0.6562  8 Ni 2.45-2.57, 1 Mg 2.65
Ni13 0.1550 0.6562 0.6562  8 Ni 2.45-2.57, 1 Mg 2.65
Ni14 0.7045 0.2954 0.9998  8 Ni 2.39-2.59
Ni15 0.0012 0.0012 0.4946  9 Ni 2.39-2.51, 1 Mg 2.64
Ni16 0.9998 0.7045 0.2954  8 Ni 2.39-2.59
Mg1 0.9095 0.9095 0.9095  7 Ni 2.40-2.65
Pr1 0.6525 0.6525 0.6525  18 Ni 2.99-3.31, 1 Mg 3.15
Pr2 0.3408 0.3408 0.3408  19 Ni 2.88-3.22

Output
Calculated volume ... 252 Å³ per cell
Fermi-level density of states ... 24.66 states/eV/cell
E ... -107.15 eV per cell
DFT formation energy ... -3.5 eV/f.u.


No. 8
Pr2YPaS4: relaxed, PBE-GGA.

Lattice parameters (Å, degrees): 3.9764 6.9339 6.9578 109.03 90.00 90.00
With the nearest neighbours (Å) after each atom.
Element x y z (fractional)
S1 0.5000 0.7549 0.7671  1 Pa 2.76, 2 Y 2.77, 3 Pr 2.90
S2 0.0000 0.7453 0.2345  1 Y 2.77, 2 Pa 2.77, 3 Pr 2.89
S3 0.5000 0.2451 0.2329  1 Pa 2.76, 2 Y 2.77, 3 Pr 2.90
S4 0.0000 0.2547 0.7655  1 Y 2.77, 2 Pa 2.77, 3 Pr 2.89
Pr1 0.0000 0.5000 0.5000  6 S 2.89-2.90
Pr2 0.5000 0.0000 0.5000  6 S 2.89-2.90
Pa1 0.5000 0.5000 0.0000  6 S 2.76-2.77
Y1 0.0000 0.0000 0.0000  6 S 2.77

Output
Calculated volume ... 181 Å³ per cell
Fermi-level density of states ... 5.84 states/eV/cell
E ... -57.16 eV per cell


No. 9
NaLiSb: relaxed, PBE-GGA.

Lattice parameters (Å, degrees): 3.4910 4.8923 4.8923 120.00 90.00 90.00
With the nearest neighbours (Å) after each atom.
Element x y z (fractional)
Na1 0.9998 0.0000 0.0000  6 Li 3.32, 6 Sb 3.32, 2 Na 3.49
Li1 0.5019 0.3333 0.6667  3 Sb 2.82
Sb1 0.4983 0.6667 0.3333  3 Li 2.82

Output
Distance to the lowest polymorph of the same formula ... 0.0423 eV per atom
Calculated volume ... 72 Å³ per cell
Fermi-level density of states ... 1.50 states/eV/cell
E ... -8.65 eV per cell


No. 10
NdPF: relaxed, PBE-GGA.

Lattice parameters (Å, degrees): 4.2510 4.0485 4.0485 120.00 90.00 90.00
With the nearest neighbours (Å) after each atom.
Element x y z (fractional)
Nd1 0.1667 0.0000 0.0000  3 F 2.34
P1 0.6667 0.6667 0.3333  6 F 3.16, 6 Nd 3.16
F1 0.1666 0.3333 0.6667  3 Nd 2.34

Output
Distance to the lowest polymorph of the same formula ... 0.3654 eV per atom
Calculated volume ... 60 Å³ per cell
Fermi-level density of states ... 2.48 states/eV/cell
E ... -18.13 eV per cell


No. 11
SmP2O6: relaxed, PBE-GGA.

Lattice parameters (Å, degrees): 5.9790 7.0552 7.0552 85.58 74.53 74.53
With the nearest neighbours (Å) after each atom.
Element x y z (fractional)
O1 0.9882 0.3625 0.3344  2 P 1.63-1.76
O2 0.0118 0.6375 0.6656  2 P 1.63-1.76
O3 0.2907 0.4385 0.8692  1 P 1.53
O4 0.8597 0.1870 0.0827  1 P 1.58
O5 0.3597 0.0827 0.1870  1 P 1.58
O6 0.4882 0.3344 0.3625  2 P 1.63-1.76
O7 0.2093 0.1308 0.5615  1 P 1.53
O8 0.5118 0.6656 0.6375  2 P 1.63-1.76
O9 0.1403 0.8130 0.9173  1 P 1.58
O10 0.7907 0.8692 0.4385  1 P 1.53
O11 0.7093 0.5615 0.1308  1 P 1.53
O12 0.6403 0.9173 0.8130  1 P 1.58
Sm1 0.2500 0.1300 0.8700  6 O 2.25-2.47
Sm2 0.7500 0.8700 0.1300  6 O 2.25-2.47
P1 0.7488 0.3611 0.2352  3 O 1.53-1.63
P2 0.2488 0.2352 0.3611  3 O 1.53-1.63
P3 0.2512 0.6389 0.7648  3 O 1.53-1.63
P4 0.7512 0.7648 0.6389  3 O 1.53-1.63

Output
Calculated volume ... 276 Å³ per cell
Fermi-level density of states ... 2.27 states/eV/cell
E ... -132.51 eV per cell